No. 1
The following is a DFT calculation (GGA-PBE) of crystalline CuIr2Pd at its relaxed geometry.

Values from the calculation:
ΔE_f   717 meV per atom
Space-group type   I-42d, No. 122
Relative energy among the computed polymorphs   593 meV per atom
N(E_F)   13.146 states/eV per cell

a = 7.0929 Å, b = 7.0929 Å, c = 5.5974 Å
α = 50.69°, β = 50.69°, γ = 90.00°
Atoms (fractional coordinates):
Ir 0.5876 0.1250 0.2500
Ir 0.1624 0.6250 0.2500
Ir 0.3750 0.4124 0.7500
Ir 0.8750 0.8376 0.7500
Cu 0.5000 0.5000 0.0000
Cu 0.2500 0.7500 0.5000
Pd 0.0000 0.0000 0.0000
Pd 0.7500 0.2500 0.5000

No. 2
The following is a DFT calculation (GGA-PBE) of crystalline TbAlAu at its relaxed geometry.

Values from the calculation:
ΔE_f   -789 meV per atom
Space-group type   Imm2, No. 44
N(E_F)   9.292 states/eV per cell

a = 4.5265 Å, b = 7.7771 Å, c = 11.7789 Å
α = 109.28°, β = 101.08°, γ = 90.00°
Atoms (fractional coordinates):
Tb 0.0000 0.5327 0.0000
Tb 0.6693 0.2109 0.3387
Tb 0.3307 0.8723 0.6613
Tb 0.5000 0.9524 0.0000
Tb 0.8351 0.2851 0.6702
Tb 0.1649 0.6149 0.3298
Al 0.8963 0.7237 0.7926
Al 0.1037 0.9311 0.2074
Al 0.7280 0.8919 0.4560
Al 0.2720 0.4359 0.5440
Al 0.5634 0.3917 0.1269
Al 0.4366 0.2648 0.8731
Au 0.9255 0.0810 0.8510
Au 0.0745 0.2300 0.1490
Au 0.7638 0.5990 0.5277
Au 0.2362 0.0713 0.4723
Au 0.5992 0.7571 0.1983
Au 0.4008 0.5588 0.8017

No. 3
The following is a DFT calculation (GGA-PBE) of crystalline TlGeAs at its relaxed geometry.

Values from the calculation:
ΔE_f   34 meV per atom
Space-group type   C2/m, No. 12
Relative energy among the computed polymorphs   32 meV per atom
N(E_F)   1.671 states/eV per cell

a = 3.9549 Å, b = 6.2681 Å, c = 6.9370 Å
α = 73.55°, β = 73.44°, γ = 71.61°
Atoms (fractional coordinates):
As 0.2649 0.6890 0.7812
As 0.7351 0.3110 0.2188
Tl 0.9193 0.7794 0.3820
Tl 0.0807 0.2206 0.6180
Ge 0.3830 0.2398 0.9943
Ge 0.6170 0.7602 0.0057

No. 4
The following is a DFT calculation (GGA-PBE) of crystalline PuCo4W at its relaxed geometry.

Values from the calculation:
ΔE_f   107 meV per atom
Space-group type   F-43m, No. 216
N(E_F)   9.465 states/eV per cell

a = 4.8247 Å, b = 4.8247 Å, c = 4.8247 Å
α = 60.00°, β = 60.00°, γ = 60.00°
Atoms (fractional coordinates):
Co 0.6250 0.6250 0.1249
Co 0.6250 0.1249 0.6250
Co 0.6250 0.6250 0.6250
Co 0.1249 0.6250 0.6250
W 0.0000 0.0000 0.0000
Pu 0.2500 0.2500 0.2500